[1]
VASP calculation (PBEsol) on an optimized crystal structure of La2BeCr.

Spin magnetization ... 0.2016 μB per atom
Volume ... 85.6 Å³/cell
DOS(E_F) ... 1.12 states/eV per atom
Calculated density ... 6.57 g/cm³
Total energy ... -23.5 eV for the cell shown
Energy of formation ... 0.364 eV per atom

Cell lengths 3.2763, 3.2763, 7.9789 Å; angles 90.00, 90.00, 90.00 degrees
Fractional coordinates of all 4 atoms:
Cr  0.5000  0.5000  0.6502
Be  0.0000  0.0000  0.5789
La  0.0000  0.0000  0.9237
La  0.5000  0.5000  0.3472

[2]
VASP calculation (PBEsol) on an optimized crystal structure of KTc2Sb.

Spin magnetization ... 0.7222 μB per atom
Volume ... 72.8 Å³/cell
DOS(E_F) ... 1.21 states/eV per atom
Calculated density ... 8.14 g/cm³
Total energy ... -22.9 eV for the cell shown
Energy relative to the elements, uncorrected ... 1.318 eV per atom

Cell lengths 3.4162, 4.6168, 4.6168 Å; angles 90.00, 90.00, 90.00 degrees
Fractional coordinates of all 4 atoms:
Tc  0.0000  0.0000  0.5000
Tc  0.0000  0.5000  0.0000
Sb  0.5000  0.0000  0.0000
K  0.5000  0.5000  0.5000

[3]
VASP calculation (PBEsol) on an optimized crystal structure of Be2InFe.

Spin magnetization ... 0.4761 μB per atom
Volume ... 50.0 Å³/cell
DOS(E_F) ... 0.54 states/eV per atom
Calculated density ... 6.26 g/cm³
Total energy ... -18.2 eV for the cell shown
Energy of formation ... 0.440 eV per atom

Cell lengths 2.6535, 4.6295, 4.8343 Å; angles 117.46, 104.10, 93.69 degrees
Fractional coordinates of all 4 atoms:
Be  0.0000  0.0000  0.5000
Be  0.5000  0.5000  0.5000
Fe  0.5000  0.0000  0.0000
In  0.0000  0.5000  0.0000